[1]
The following is a DFT calculation (PBE) of Tb5As2C2 after structural relaxation.

Unit cell a=7.368 b=6.580 c=9.928 alpha=109.35 beta=111.78 gamma=90.00
Sites, in units of the cell vectors:
Tb: 0.781 0.256 0.048
Tb: 0.233 0.707 0.952
Tb: 0.871 0.163 0.500
Tb: 0.562 0.596 0.283
Tb: 0.767 0.756 0.048
Tb: 0.438 0.313 0.717
Tb: 0.129 0.663 0.500
Tb: 0.221 0.096 0.283
Tb: 0.779 0.813 0.717
Tb: 0.219 0.207 0.952
As: 0.851 0.400 0.793
As: 0.558 0.107 0.207
As: 0.442 0.900 0.793
As: 0.149 0.607 0.207
C: 0.000 0.986 0.000
C: 0.162 0.306 0.500
C: 0.838 0.806 0.500
C: 0.500 0.486 0.000

Its volume is 417.5 Å³ per cell. As for the space group: Ima2. The total energy is -0.233 Ha/atom. The value obtained for the formation energy is -0.692 eV per atom.

***

[2]
The following is a DFT calculation (PBE) of NaTcClO2 after structural relaxation.

Unit cell a=3.840 b=3.840 c=5.238 alpha=90.00 beta=90.00 gamma=90.00
Sites, in units of the cell vectors:
O: 0.500 0.000 0.000
O: 0.000 0.500 0.000
Na: 0.500 0.500 0.500
Cl: 0.000 0.000 0.500
Tc: 0.000 0.000 0.000

Its volume is 77.2 Å³ per cell. As for the space group: P4/mmm. The total energy is -0.220 Ha/atom. As for the uncorrected formation energy: -30.12 kcal/mol of atoms.

***

[3]
The following is a DFT calculation (PBE) of Hg5SbPb4 after structural relaxation.

Unit cell a=3.428 b=11.018 c=8.188 alpha=104.23 beta=106.29 gamma=82.95
Sites, in units of the cell vectors:
Hg: 0.136 0.099 0.414
Hg: 0.022 0.593 0.388
Hg: 0.864 0.901 0.586
Hg: 0.978 0.407 0.612
Hg: 0.500 0.500 0.000
Pb: 0.760 0.202 0.809
Pb: 0.454 0.294 0.214
Pb: 0.240 0.798 0.191
Pb: 0.546 0.706 0.786
Sb: 0.500 0.000 0.000

Its volume is 287.3 Å³ per cell. As for the space group: P-1. The total energy is -0.074 Ha/atom. As for the uncorrected formation energy: 0.96 kcal/mol of atoms.

***

[4]
The following is a DFT calculation (PBE) of InTeAs2 after structural relaxation.

Unit cell a=8.639 b=6.473 c=2.975 alpha=64.34 beta=107.73 gamma=137.50
Sites, in units of the cell vectors:
In: 0.000 0.500 0.500
As: 0.500 0.000 0.500
As: 0.000 0.000 0.000
Te: 0.500 0.500 0.000

Its volume is 101.3 Å³ per cell. As for the space group: C2/m. The total energy is -0.135 Ha/atom. The calculation puts the energy relative to the lowest polymorph listed for this composition at 0.156 eV per atom. As for the uncorrected formation energy: 2.92 kcal/mol of atoms.

***

[5]
The following is a DFT calculation (PBE) of Cs6Ag3Au after structural relaxation.

Unit cell a=5.154 b=14.025 c=17.315 alpha=113.02 beta=90.00 gamma=90.00
Sites, in units of the cell vectors:
Cs: 0.250 0.241 0.677
Cs: 0.750 0.490 0.614
Cs: 0.750 0.759 0.323
Cs: 0.750 0.442 0.093
Cs: 0.250 0.907 0.595
Cs: 0.750 0.093 0.405
Cs: 0.250 0.146 0.198
Cs: 0.750 0.839 0.096
Cs: 0.250 0.161 0.904
Cs: 0.750 0.854 0.802
Cs: 0.250 0.510 0.386
Cs: 0.250 0.558 0.907
Ag: 0.250 0.304 0.473
Ag: 0.750 0.049 0.020
Ag: 0.250 0.675 0.155
Ag: 0.250 0.951 0.980
Ag: 0.750 0.325 0.845
Ag: 0.750 0.696 0.527
Au: 0.750 0.099 0.738
Au: 0.250 0.901 0.262

Its volume is 1151.8 Å³ per cell. As for the space group: P2_1/m. The total energy is -0.063 Ha/atom. The value obtained for the formation energy is -0.026 eV per atom.

***

[6]
The following is a DFT calculation (PBE) of GeBi2SeBr after structural relaxation.

Unit cell a=5.643 b=5.294 c=5.643 alpha=90.00 beta=90.00 gamma=90.00
Sites, in units of the cell vectors:
Br: 0.500 0.500 0.500
Bi: 0.000 0.000 0.500
Bi: 0.500 0.000 0.000
Se: 0.000 0.000 0.000
Ge: 0.000 0.500 0.000

Its volume is 168.6 Å³ per cell. As for the space group: P4/mmm. The total energy is -0.110 Ha/atom. As for the uncorrected formation energy: 11.88 kcal/mol of atoms.

***

[7]
The following is a DFT calculation (PBE) of Sr2ScPdO5 after structural relaxation.

Unit cell a=3.610 b=6.903 c=10.635 alpha=90.00 beta=90.00 gamma=105.16
Sites, in units of the cell vectors:
O: 0.283 0.565 0.641
O: 0.307 0.615 0.393
O: 0.499 0.998 0.785
O: 0.624 0.249 0.504
O: 0.064 0.127 0.044
O: 0.501 0.002 0.285
O: 0.376 0.751 0.004
O: 0.693 0.385 0.893
O: 0.717 0.435 0.141
O: 0.936 0.873 0.544
Pd: 0.781 0.561 0.522
Pd: 0.219 0.439 0.022
Sr: 0.860 0.720 0.797
Sr: 0.140 0.280 0.297
Sr: 0.106 0.212 0.679
Sr: 0.894 0.788 0.179
Sc: 0.544 0.089 0.960
Sc: 0.456 0.911 0.460

Its volume is 255.8 Å³ per cell. As for the space group: Cmc2_1. The total energy is -0.246 Ha/atom. As for the uncorrected formation energy: -52.41 kcal/mol of atoms.

***

[8]
The following is a DFT calculation (PBE) of K3Te after structural relaxation.

Unit cell a=5.355 b=5.355 c=8.988 alpha=90.00 beta=90.00 gamma=120.00
Sites, in units of the cell vectors:
K: 0.000 0.000 0.930
K: 0.000 0.000 0.570
K: 0.667 0.333 0.250
Te: 0.667 0.333 0.750

Its volume is 223.2 Å³ per cell. As for the space group: P-6m2. The total energy is -0.079 Ha/atom. The calculation puts the energy relative to the lowest polymorph listed for this composition at 0.104 eV per atom. As for the uncorrected formation energy: -12.44 kcal/mol of atoms.